[1]
Below is a geometry-optimized BaY4Se6 structure, with properties calculated at the GGA-PBE level.

It has space group Cmcm (No. 63), with a = 4.1686 Å, b = 13.5606 Å, c = 21.3444 Å, α = 90.00°, β = 90.00° and γ = 90.00°. Symmetry generates all atoms from Ba at (0.0000, 0.1597, 0.2500), Y at (0.0000, 0.0941, 0.6260), Y at (0.0000, 0.3614, 0.5388), Se at (0.0000, 0.0000, 0.0000), Se at (0.0000, 0.1604, 0.7500), Se at (0.0000, 0.2684, 0.0862) and Se at (0.0000, 0.4585, 0.6566).

The energy relative to the elements, uncorrected comes out at -1.896 eV/atom. The crystal system is orthorhombic. The theoretical density comes out at 5.32 g/cm3. As for the volume: 1207 Å³/cell.


[2]
Below is a geometry-optimized Ba2YSe structure, with properties calculated at the GGA-PBE level.

It has space group P4/mmm (No. 123), with a = 5.9601 Å, b = 5.9601 Å, c = 4.1601 Å, α = 90.00°, β = 90.00° and γ = 90.00°. Symmetry generates all atoms from Ba at (0.0000, 0.5000, 0.0000), Y at (0.0000, 0.0000, 0.5000) and Se at (0.5000, 0.5000, 0.5000).

The energy relative to the elements, uncorrected comes out at -0.389 eV/atom. The crystal system is tetragonal. The theoretical density comes out at 4.97 g/cm3. As for the volume: 148 Å³/cell.


[3]
Below is a geometry-optimized BaZn2Se structure, with properties calculated at the GGA-PBE level.

It has space group I4/mmm (No. 139), with a = 4.4858 Å, b = 4.4858 Å, c = 11.8935 Å, α = 90.00°, β = 90.00° and γ = 90.00°. Symmetry generates all atoms from Ba at (0.0000, 0.0000, 0.0000), Zn at (0.0000, 0.5000, 0.2500) and Se at (0.0000, 0.0000, 0.5000).

The energy relative to the elements, uncorrected comes out at -0.516 eV/atom. The crystal system is tetragonal. The theoretical density comes out at 4.82 g/cm3. As for the volume: 239 Å³/cell.


[4]
Below is a geometry-optimized BaZn3Se structure, with properties calculated at the GGA-PBE level.

It has space group Pm-3m (No. 221), with a = 6.1110 Å, b = 6.1110 Å, c = 6.1110 Å, α = 90.00°, β = 90.00° and γ = 90.00°. Symmetry generates all atoms from Ba at (0.0000, 0.0000, 0.0000), Zn at (0.0000, 0.0000, 0.5000) and Se at (0.5000, 0.5000, 0.5000).

The energy relative to the elements, uncorrected comes out at 0.805 eV/atom. The crystal system is cubic. The theoretical density comes out at 3.00 g/cm3. As for the volume: 228 Å³/cell.


[5]
Below is a geometry-optimized BaZn2Se structure, with properties calculated at the GGA-PBE level.

It has space group Cm (No. 8), with a = 8.5477 Å, b = 4.3957 Å, c = 6.2136 Å, α = 90.00°, β = 104.40° and γ = 90.00°. Symmetry generates all atoms from Ba at (0.0000, 0.0000, 0.0000), Zn at (0.2233, 0.5000, 0.3828), Zn at (0.4157, 0.0000, 0.3826) and Se at (0.2600, 0.0000, 0.6931).

The energy relative to the elements, uncorrected comes out at -0.635 eV/atom. The crystal system is monoclinic. The theoretical density comes out at 5.10 g/cm3. As for the volume: 226 Å³/cell.


[6]
Below is a geometry-optimized Ba3ZnSe structure, with properties calculated at the GGA-PBE level.

It has space group Pm-3m (No. 221), with a = 6.3001 Å, b = 6.3001 Å, c = 6.3001 Å, α = 90.00°, β = 90.00° and γ = 90.00°. Symmetry generates all atoms from Ba at (0.0000, 0.0000, 0.5000), Zn at (0.5000, 0.5000, 0.5000) and Se at (0.0000, 0.0000, 0.0000).

The energy relative to the elements, uncorrected comes out at -0.574 eV/atom. The crystal system is cubic. The theoretical density comes out at 3.69 g/cm3. As for the volume: 250 Å³/cell.


[7]
Below is a geometry-optimized BaZn2Se structure, with properties calculated at the GGA-PBE level.

It has space group Pmmm (No. 47), with a = 4.4883 Å, b = 4.8925 Å, c = 5.2546 Å, α = 90.00°, β = 90.00° and γ = 90.00°. Symmetry generates all atoms from Ba at (0.0000, 0.0000, 0.0000), Zn at (0.5000, 0.2509, 0.5000) and Se at (0.5000, 0.5000, 0.0000).

The energy relative to the elements, uncorrected comes out at -0.584 eV/atom. The crystal system is orthorhombic. The theoretical density comes out at 5.00 g/cm3. As for the volume: 115 Å³/cell.


[8]
Below is a geometry-optimized BaZn2Se structure, with properties calculated at the GGA-PBE level.

It has space group R-3m (No. 166, hexagonal axes), with a = 4.6606 Å, b = 4.6606 Å, c = 18.0207 Å, α = 90.00°, β = 90.00° and γ = 120.00°. Symmetry generates all atoms from Ba at (0.0000, 0.0000, 0.0000), Zn at (0.0000, 0.0000, 0.2244) and Se at (0.0000, 0.0000, 0.5000).

The energy relative to the elements, uncorrected comes out at -0.391 eV/atom. The crystal system is trigonal. The theoretical density comes out at 5.10 g/cm3. As for the volume: 339 Å³/cell.


[9]
Below is a geometry-optimized BaZn2Se structure, with properties calculated at the GGA-PBE level.

It has space group Pm (No. 6), with a = 4.2061 Å, b = 4.1116 Å, c = 6.4727 Å, α = 90.00°, β = 92.99° and γ = 90.00°. Symmetry generates all atoms from Ba at (0.0000, 0.0000, 0.0000), Zn at (0.4349, 0.0000, 0.5543), Zn at (0.9140, 0.5000, 0.5559) and Se at (0.5187, 0.5000, 0.2098).

The energy relative to the elements, uncorrected comes out at -0.628 eV/atom. The crystal system is monoclinic. The theoretical density comes out at 5.16 g/cm3. As for the volume: 112 Å³/cell.


[10]
Below is a geometry-optimized BaZn2Se structure, with properties calculated at the GGA-PBE level.

It has space group I-42d (No. 122), with a = 8.5550 Å, b = 8.5550 Å, c = 6.3022 Å, α = 90.00°, β = 90.00° and γ = 90.00°. Symmetry generates all atoms from Ba at (0.0000, 0.0000, 0.0000), Zn at (0.1959, 0.2500, 0.6250) and Se at (0.0000, 0.0000, 0.5000).

The energy relative to the elements, uncorrected comes out at -0.461 eV/atom. The crystal system is tetragonal. The theoretical density comes out at 5.00 g/cm3. As for the volume: 461 Å³/cell.


[11]
Below is a geometry-optimized BaZnSe structure, with properties calculated at the GGA-PBE level.

It has space group P3m1 (No. 156), with a = 4.7185 Å, b = 4.7185 Å, c = 4.9250 Å, α = 90.00°, β = 90.00° and γ = 120.00°. Symmetry generates all atoms from Ba at (0.0000, 0.0000, 0.0000), Zn at (0.3333, 0.6667, 0.6148) and Se at (0.6667, 0.3333, 0.3930).

The energy relative to the elements, uncorrected comes out at -0.917 eV/atom. The crystal system is trigonal. The theoretical density comes out at 4.93 g/cm3. As for the volume: 95 Å³/cell.


[12]
Below is a geometry-optimized BaZnSe structure, with properties calculated at the GGA-PBE level.

It has space group F-43m (No. 216), with a = 7.6466 Å, b = 7.6466 Å, c = 7.6466 Å, α = 90.00°, β = 90.00° and γ = 90.00°. Symmetry generates all atoms from Ba at (0.0000, 0.0000, 0.0000), Zn at (0.0000, 0.0000, 0.5000) and Se at (0.2500, 0.2500, 0.2500).

The energy relative to the elements, uncorrected comes out at -0.816 eV/atom. The crystal system is cubic. The theoretical density comes out at 4.18 g/cm3. As for the volume: 447 Å³/cell.